Material: ScMnPH
Method: DFT, GGA-PBE
State: optimized geometry

As for the density: 4.68 g cm⁻³. The final energy is -55.28 eV for the cell shown.

abc: 3.631 3.631 7.093
angles: 90.00 90.00 90.00
Space group P4/nmm (No. 129, origin choice 2)
Asymmetric unit:
Sc: 0.250 0.250 0.153
Mn: 0.250 0.750 0.500
P: 0.250 0.250 0.699
H: 0.250 0.750 0.000

Material: SmMnPH
Method: DFT, GGA-PBE
State: optimized geometry

As for the density: 6.87 g cm⁻³. The final energy is -52.51 eV for the cell shown.

abc: 3.741 3.741 8.195
angles: 90.00 90.00 90.00
Space group P4/nmm (No. 129, origin choice 2)
Asymmetric unit:
Sm: 0.250 0.250 0.174
Mn: 0.250 0.750 0.500
P: 0.250 0.250 0.666
H: 0.250 0.750 0.000

Material: MnTcSnPH
Method: DFT, GGA-PBE
State: optimized geometry

As for the density: 7.48 g cm⁻³. The final energy is -32.84 eV for the cell shown. Its energy above the most stable polymorph in this dataset is 82 meV per atom.

abc: 3.247 3.003 7.037
angles: 90.00 100.76 90.00
Space group Pm (No. 6)
Asymmetric unit:
Mn: 0.000 0.000 0.000
Tc: 0.868 0.500 0.653
Sn: 0.252 0.500 0.322
P: 0.412 0.000 0.789
H: 0.773 0.500 0.022

Material: MnTcSnPH
Method: DFT, GGA-PBE
State: optimized geometry

As for the density: 7.34 g cm⁻³. The final energy is -65.23 eV for the cell shown. Its energy above the most stable polymorph in this dataset is 127 meV per atom.

abc: 3.039 3.082 14.676
angles: 90.00 90.00 90.00
Space group Imm2 (No. 44)
Asymmetric unit:
Mn: 0.000 0.000 0.000
Tc: 0.000 0.000 0.181
Sn: 0.000 0.500 0.346
P: 0.000 0.000 0.598
H: 0.000 0.500 0.748

Material: MnTcSnPH
Method: DFT, GGA-PBE
State: optimized geometry

As for the density: 7.52 g cm⁻³. The final energy is -65.51 eV for the cell shown. Its energy above the most stable polymorph in this dataset is 100 meV per atom.

abc: 13.786 3.107 3.219
angles: 90.00 103.43 90.00
Space group Cm (No. 8)
Asymmetric unit:
Mn: 0.000 0.000 0.000
Tc: 0.309 0.000 0.810
Sn: 0.130 0.500 0.634
P: 0.375 0.500 0.380
H: 0.451 0.000 0.012

Material: MnTcSnPH
Method: DFT, GGA-PBE
State: optimized geometry

As for the density: 7.88 g cm⁻³. The final energy is -64.43 eV for the cell shown. Its energy above the most stable polymorph in this dataset is 207 meV per atom.

abc: 9.166 3.162 4.612
angles: 90.00 106.83 90.00
Space group Cm (No. 8)
Asymmetric unit:
Mn: 0.000 0.000 0.000
Tc: 0.217 0.500 0.424
Sn: 0.280 0.000 0.972
P: 0.028 0.000 0.518
H: 0.073 0.500 0.018